[1]
Entry from the Alexandria database: a relaxed NbCoAgTe2 crystal (GGA-PBE).

Structure (CIF):
```
data_NbCoAgTe2
_chemical_formula_sum 'Nb1 Co1 Ag1 Te2'
_space_group_name_H-M_alt 'P 1'
_space_group_IT_number 1
_cell_length_a 5.322
_cell_length_b 5.322
_cell_length_c 5.265
_cell_angle_alpha 90.00
_cell_angle_beta 90.00
_cell_angle_gamma 90.00
loop_
_space_group_symop_operation_xyz
'x,y,z'
loop_
_atom_site_label
_atom_site_type_symbol
_atom_site_fract_x
_atom_site_fract_y
_atom_site_fract_z
Nb1 Nb 0.000 0.000 0.000
Co1 Co 0.500 0.500 0.500
Ag1 Ag 0.000 0.000 0.500
Te1 Te 0.000 0.500 0.000
Te2 Te 0.500 0.000 0.000
```

Properties
VASP energy: -4.2206 eV/atom
ΔE_f (raw): 1.041 eV/atom
M_tot: 2.494 μB per formula unit

[2]
Entry from the Alexandria database: a relaxed RbTl3Se crystal (GGA-PBE).

Structure (CIF):
```
data_RbTl3Se
_chemical_formula_sum 'Rb1 Tl3 Se1'
_space_group_name_H-M_alt 'P 1'
_space_group_IT_number 1
_cell_length_a 6.159
_cell_length_b 6.159
_cell_length_c 6.159
_cell_angle_alpha 90.00
_cell_angle_beta 90.00
_cell_angle_gamma 90.00
loop_
_space_group_symop_operation_xyz
'x,y,z'
loop_
_atom_site_label
_atom_site_type_symbol
_atom_site_fract_x
_atom_site_fract_y
_atom_site_fract_z
Rb1 Rb 0.000 0.000 0.000
Tl1 Tl 0.000 0.500 0.500
Tl2 Tl 0.500 0.000 0.500
Tl3 Tl 0.500 0.500 0.000
Se1 Se 0.500 0.500 0.500
```

Properties
VASP energy: -2.3534 eV/atom
ΔE_f (raw): -0.043 eV/atom
M_tot: 0.000 μB per formula unit

[3]
Entry from the Alexandria database: a relaxed TbHoTlS crystal (GGA-PBE).

Structure (CIF):
```
data_TbHoTlS
_chemical_formula_sum 'Tb1 Ho1 Tl1 S1'
_space_group_name_H-M_alt 'P 1'
_space_group_IT_number 1
_cell_length_a 3.796
_cell_length_b 3.799
_cell_length_c 8.416
_cell_angle_alpha 90.00
_cell_angle_beta 102.97
_cell_angle_gamma 119.96
loop_
_space_group_symop_operation_xyz
'x,y,z'
loop_
_atom_site_label
_atom_site_type_symbol
_atom_site_fract_x
_atom_site_fract_y
_atom_site_fract_z
Tb1 Tb 0.000 0.000 0.000
Ho1 Ho 0.404 0.202 0.606
Tl1 Tl 0.869 0.435 0.304
S1 S 0.202 0.601 0.803
```

Properties
VASP energy: -5.0667 eV/atom
ΔE_f (raw): -1.141 eV/atom
M_tot: 0.000 μB per formula unit

[4]
Entry from the Alexandria database: a relaxed KNa2IrF6 crystal (GGA-PBE).

Structure (CIF):
```
data_KNa2IrF6
_chemical_formula_sum 'K1 Na2 Ir1 F6'
_space_group_name_H-M_alt 'P 1'
_space_group_IT_number 1
_cell_length_a 6.297
_cell_length_b 6.297
_cell_length_c 6.297
_cell_angle_alpha 55.40
_cell_angle_beta 55.40
_cell_angle_gamma 55.40
loop_
_space_group_symop_operation_xyz
'x,y,z'
loop_
_atom_site_label
_atom_site_type_symbol
_atom_site_fract_x
_atom_site_fract_y
_atom_site_fract_z
K1 K 0.000 0.000 0.000
Na1 Na 0.282 0.282 0.282
Na2 Na 0.798 0.798 0.798
Ir1 Ir 0.483 0.483 0.483
F1 F 0.120 0.665 0.429
F2 F 0.258 0.557 0.848
F3 F 0.429 0.120 0.665
F4 F 0.557 0.848 0.258
F5 F 0.665 0.429 0.120
F6 F 0.848 0.258 0.557
```

Properties
VASP energy: -4.6092 eV/atom
ΔE_f (raw): -2.227 eV/atom
M_tot: 0.201 μB per formula unit

[5]
Entry from the Alexandria database: a relaxed LiP2HPt crystal (GGA-PBE).

Structure (CIF):
```
data_LiP2HPt
_chemical_formula_sum 'Li1 P2 H1 Pt1'
_space_group_name_H-M_alt 'P 1'
_space_group_IT_number 1
_cell_length_a 4.540
_cell_length_b 4.540
_cell_length_c 5.133
_cell_angle_alpha 90.00
_cell_angle_beta 90.00
_cell_angle_gamma 90.00
loop_
_space_group_symop_operation_xyz
'x,y,z'
loop_
_atom_site_label
_atom_site_type_symbol
_atom_site_fract_x
_atom_site_fract_y
_atom_site_fract_z
Li1 Li 0.000 0.000 0.000
P1 P 0.000 0.500 0.500
P2 P 0.500 0.000 0.500
H1 H 0.500 0.500 0.000
Pt1 Pt 0.000 0.000 0.500
```

Properties
VASP energy: -3.8230 eV/atom
M_tot: 0.202 μB per formula unit

[6]
Entry from the Alexandria database: a relaxed Rb5Au2I12 crystal (GGA-PBE).

Structure (CIF):
```
data_Rb5Au2I12
_chemical_formula_sum 'Rb5 Au2 I12'
_space_group_name_H-M_alt 'P 1'
_space_group_IT_number 1
_cell_length_a 11.420
_cell_length_b 11.420
_cell_length_c 11.027
_cell_angle_alpha 118.23
_cell_angle_beta 118.23
_cell_angle_gamma 50.06
loop_
_space_group_symop_operation_xyz
'x,y,z'
loop_
_atom_site_label
_atom_site_type_symbol
_atom_site_fract_x
_atom_site_fract_y
_atom_site_fract_z
Rb1 Rb 0.000 0.000 0.000
Rb2 Rb 0.255 0.255 0.833
Rb3 Rb 0.331 0.331 0.481
Rb4 Rb 0.669 0.669 0.519
Rb5 Rb 0.745 0.745 0.167
Au1 Au 0.165 0.835 0.500
Au2 Au 0.835 0.165 0.500
I1 I 0.063 0.615 0.731
I2 I 0.082 0.082 0.415
I3 I 0.167 0.606 0.255
I4 I 0.385 0.937 0.269
I5 I 0.394 0.833 0.745
I6 I 0.470 0.470 0.086
I7 I 0.530 0.530 0.914
I8 I 0.606 0.167 0.255
I9 I 0.615 0.063 0.731
I10 I 0.833 0.394 0.745
I11 I 0.918 0.918 0.585
I12 I 0.937 0.385 0.269
```

Properties
VASP energy: -2.2696 eV/atom
ΔE_f (raw): -0.691 eV/atom
M_tot: 0.000 μB per formula unit

[7]
Entry from the Alexandria database: a relaxed Nd8YEr5 crystal (GGA-PBE).

Structure (CIF):
```
data_Nd8YEr5
_chemical_formula_sum 'Nd8 Y1 Er5'
_space_group_name_H-M_alt 'P 1'
_space_group_IT_number 1
_cell_length_a 8.575
_cell_length_b 8.575
_cell_length_c 8.575
_cell_angle_alpha 111.18
_cell_angle_beta 111.18
_cell_angle_gamma 106.10
loop_
_space_group_symop_operation_xyz
'x,y,z'
loop_
_atom_site_label
_atom_site_type_symbol
_atom_site_fract_x
_atom_site_fract_y
_atom_site_fract_z
Nd1 Nd 0.077 0.336 0.604
Nd2 Nd 0.163 0.430 0.086
Nd3 Nd 0.343 0.076 0.914
Nd4 Nd 0.527 0.923 0.259
Nd5 Nd 0.570 0.657 0.733
Nd6 Nd 0.664 0.268 0.741
Nd7 Nd 0.732 0.473 0.396
Nd8 Nd 0.924 0.837 0.267
Y1 Y 0.250 0.750 0.500
Er1 Er 0.036 0.723 0.905
Er2 Er 0.277 0.182 0.312
Er3 Er 0.500 0.500 0.000
Er4 Er 0.818 0.130 0.095
Er5 Er 0.870 0.964 0.688
```

Properties
VASP energy: -4.5656 eV/atom
M_tot: 0.000 μB per formula unit
DFT formation energy: 250 meV/atom

[8]
Entry from the Alexandria database: a relaxed La2TlBr2 crystal (GGA-PBE).

Structure (CIF):
```
data_La2TlBr2
_chemical_formula_sum 'La6 Tl3 Br6'
_space_group_name_H-M_alt 'P 1'
_space_group_IT_number 1
_cell_length_a 4.386
_cell_length_b 4.386
_cell_length_c 33.790
_cell_angle_alpha 90.00
_cell_angle_beta 90.00
_cell_angle_gamma 120.00
loop_
_space_group_symop_operation_xyz
'x,y,z'
loop_
_atom_site_label
_atom_site_type_symbol
_atom_site_fract_x
_atom_site_fract_y
_atom_site_fract_z
La1 La 0.000 0.000 0.106
La2 La 0.000 0.000 0.894
La3 La 0.333 0.667 0.561
La4 La 0.333 0.667 0.772
La5 La 0.667 0.333 0.228
La6 La 0.667 0.333 0.439
Tl1 Tl 0.000 0.000 0.500
Tl2 Tl 0.333 0.667 0.167
Tl3 Tl 0.667 0.333 0.833
Br1 Br 0.000 0.000 0.280
Br2 Br 0.000 0.000 0.720
Br3 Br 0.333 0.667 0.387
Br4 Br 0.333 0.667 0.946
Br5 Br 0.667 0.333 0.054
Br6 Br 0.667 0.333 0.613
```

Properties
VASP energy: -4.3368 eV/atom
ΔE_f (raw): -1.223 eV/atom
M_tot: 0.000 μB per formula unit

Repeat the fourth record exactly.
Entry from the Alexandria database: a relaxed KNa2IrF6 crystal (GGA-PBE).

Structure (CIF):
```
data_KNa2IrF6
_chemical_formula_sum 'K1 Na2 Ir1 F6'
_space_group_name_H-M_alt 'P 1'
_space_group_IT_number 1
_cell_length_a 6.297
_cell_length_b 6.297
_cell_length_c 6.297
_cell_angle_alpha 55.40
_cell_angle_beta 55.40
_cell_angle_gamma 55.40
loop_
_space_group_symop_operation_xyz
'x,y,z'
loop_
_atom_site_label
_atom_site_type_symbol
_atom_site_fract_x
_atom_site_fract_y
_atom_site_fract_z
K1 K 0.000 0.000 0.000
Na1 Na 0.282 0.282 0.282
Na2 Na 0.798 0.798 0.798
Ir1 Ir 0.483 0.483 0.483
F1 F 0.120 0.665 0.429
F2 F 0.258 0.557 0.848
F3 F 0.429 0.120 0.665
F4 F 0.557 0.848 0.258
F5 F 0.665 0.429 0.120
F6 F 0.848 0.258 0.557
```

Properties
VASP energy: -4.6092 eV/atom
ΔE_f (raw): -2.227 eV/atom
M_tot: 0.201 μB per formula unit

Please write out number 3 again, unchanged.
Entry from the Alexandria database: a relaxed TbHoTlS crystal (GGA-PBE).

Structure (CIF):
```
data_TbHoTlS
_chemical_formula_sum 'Tb1 Ho1 Tl1 S1'
_space_group_name_H-M_alt 'P 1'
_space_group_IT_number 1
_cell_length_a 3.796
_cell_length_b 3.799
_cell_length_c 8.416
_cell_angle_alpha 90.00
_cell_angle_beta 102.97
_cell_angle_gamma 119.96
loop_
_space_group_symop_operation_xyz
'x,y,z'
loop_
_atom_site_label
_atom_site_type_symbol
_atom_site_fract_x
_atom_site_fract_y
_atom_site_fract_z
Tb1 Tb 0.000 0.000 0.000
Ho1 Ho 0.404 0.202 0.606
Tl1 Tl 0.869 0.435 0.304
S1 S 0.202 0.601 0.803
```

Properties
VASP energy: -5.0667 eV/atom
ΔE_f (raw): -1.141 eV/atom
M_tot: 0.000 μB per formula unit

Question: Look up the M_tot of the third one.
Answer: 0.000 μB per formula unit